1.
! CeHAu GGA-PBE relaxed; values from VASP
&SYSTEM
  ibrav = 0, nat = 3, ntyp = 3
/
ATOMIC_SPECIES
Au 196.97 Au.upf
H 1.01 H.upf
Ce 140.12 Ce.upf
CELL_PARAMETERS angstrom
-2.258 -1.585 -3.274
3.219 -1.814 -1.342
-2.381 -1.838 2.532
ATOMIC_POSITIONS crystal
Au 0.666 0.667 0.333
H 0.167 0.333 0.667
Ce 0.166 0.000 0.000
! V   57 Å³/cell
! Space group   P3m1
! Raw total energy   -4.636 eV per atom



2.
! Zr2CrW GGA-PBE relaxed; values from VASP
&SYSTEM
  ibrav = 0, nat = 4, ntyp = 3
/
ATOMIC_SPECIES
Zr 91.22 Zr.upf
Cr 52.00 Cr.upf
W 183.84 W.upf
CELL_PARAMETERS angstrom
3.299 0.000 0.000
0.000 4.777 0.000
0.000 0.000 4.554
ATOMIC_POSITIONS crystal
Zr 0.000 0.000 0.000
Zr 0.500 0.500 0.000
Cr 0.500 0.000 0.500
W 0.000 0.500 0.500
! V   72 Å³/cell
! Space group   Pmmm
! Raw total energy   -9.574 eV per atom



3.
! Pb6IF12 GGA-PBE relaxed; values from VASP
&SYSTEM
  ibrav = 0, nat = 19, ntyp = 3
/
ATOMIC_SPECIES
F 19.00 F.upf
Pb 207.20 Pb.upf
I 126.90 I.upf
CELL_PARAMETERS angstrom
-1.694 -4.432 -5.659
-2.556 -3.813 5.785
-5.024 5.372 -0.669
ATOMIC_POSITIONS crystal
F 0.867 0.133 0.500
Pb 0.235 0.644 0.235
F 0.474 0.474 0.201
Pb 0.235 0.235 0.644
I 0.000 0.000 0.000
F 0.526 0.526 0.799
Pb 0.765 0.356 0.765
Pb 0.356 0.765 0.765
F 0.799 0.526 0.526
F 0.201 0.474 0.474
F 0.526 0.799 0.526
F 0.867 0.500 0.133
F 0.133 0.867 0.500
Pb 0.644 0.235 0.235
Pb 0.765 0.765 0.356
F 0.474 0.201 0.474
F 0.500 0.867 0.133
F 0.133 0.500 0.867
F 0.500 0.133 0.867
! V   371 Å³/cell
! Energy relative to the elements, uncorrected   -2.16 eV per atom
! Space group   R-3m
! Raw total energy   -4.591 eV per atom



4.
! Na2CaAs4O12 GGA-PBE relaxed; values from VASP
&SYSTEM
  ibrav = 0, nat = 38, ntyp = 4
/
ATOMIC_SPECIES
As 74.92 As.upf
Ca 40.08 Ca.upf
O 16.00 O.upf
Na 22.99 Na.upf
CELL_PARAMETERS angstrom
10.126 0.000 0.000
0.000 10.126 0.000
0.000 0.000 5.237
ATOMIC_POSITIONS crystal
As 0.500 0.227 0.500
As 0.273 0.000 0.500
Ca 0.500 0.500 0.000
As 0.773 0.500 0.500
O 0.616 0.884 0.652
O 0.694 0.428 0.256
O 0.572 0.306 0.744
O 0.306 0.572 0.256
O 0.884 0.616 0.348
O 0.306 0.428 0.744
O 0.806 0.928 0.256
As 0.727 0.000 0.500
As 0.000 0.727 0.500
As 0.227 0.500 0.500
As 0.500 0.773 0.500
O 0.072 0.194 0.744
As 0.000 0.273 0.500
O 0.616 0.116 0.348
Ca 0.000 0.000 0.000
O 0.884 0.384 0.652
O 0.194 0.928 0.744
Na 0.750 0.250 0.000
O 0.194 0.072 0.256
O 0.384 0.116 0.652
O 0.572 0.694 0.256
Na 0.250 0.750 0.000
O 0.428 0.694 0.744
Na 0.750 0.750 0.000
Na 0.250 0.250 0.000
O 0.806 0.072 0.744
O 0.116 0.616 0.652
O 0.384 0.884 0.348
O 0.694 0.572 0.744
O 0.928 0.806 0.744
O 0.116 0.384 0.348
O 0.928 0.194 0.256
O 0.428 0.306 0.256
O 0.072 0.806 0.256
! V   537 Å³/cell
! Energy relative to the elements, uncorrected   -1.59 eV per atom
! Space group   P4/nbm
! Raw total energy   -5.947 eV per atom